Entry 1:
## BaAgHg4 (SCAN)

Data for a PBEsol-optimized structure of BaAgHg4.

The structure in POSCAR format:
```
BaAgHg4
1.0
5.998 0.000 0.000
2.999 5.195 0.000
2.999 1.732 4.898
Hg Ag Ba
4 1 1
Cartesian
4.510 2.604 1.841 Hg
5.998 5.182 1.841 Hg
5.998 3.463 4.272 Hg
7.487 2.604 1.841 Hg
8.998 5.195 3.673 Ag
0.000 0.000 0.000 Ba
```

Computed properties:
For the formation energy, the calculation gives -0.219 eV per atom.

Entry 2:
## Li4AsCl (SCAN)

Data for a PBEsol-optimized structure of Li4AsCl.

The structure in POSCAR format:
```
Li4AsCl
1.0
-3.248 3.984 -0.669
-4.316 0.332 2.851
-0.415 3.648 3.659
Li As Cl
4 1 1
Cartesian
-3.024 3.019 2.214 Li
-3.225 4.784 3.984 Li
-4.596 4.946 1.890 Li
-5.113 3.179 3.594 Li
-5.984 5.973 4.381 As
0.000 0.000 0.000 Cl
```

Computed properties:
As for the formation energy without anion corrections: -0.263 eV/atom.

Entry 3:
## La3Tc (SCAN)

Data for a PBEsol-optimized structure of La3Tc.

The structure in POSCAR format:
```
La3Tc
1.0
-0.717 4.960 -1.336
-4.146 1.357 -2.805
-3.821 2.747 2.181
La Tc
3 1
Cartesian
-2.171 2.266 -0.490 La
-4.342 4.532 -0.980 La
-6.513 6.798 -1.470 La
0.000 0.000 0.000 Tc
```

Computed properties:
For the formation energy, the calculation gives 0.295 eV per atom.

Entry 4:
## NaBe2BO3F2 (SCAN)

Data for a PBEsol-optimized structure of NaBe2BO3F2.

The structure in POSCAR format:
```
NaBe2BO3F2
1.0
-3.752 5.923 -2.919
-4.982 2.653 5.212
7.177 2.146 1.704
Be O F B Na
8 12 8 4 4
Cartesian
-5.466 7.790 2.920 Be
2.263 3.397 0.804 Be
-4.283 3.489 2.481 Be
1.952 5.541 -0.923 Be
4.359 3.914 2.491 Be
-2.188 4.021 4.168 Be
0.949 7.396 0.830 Be
-4.458 5.929 1.181 Be
-4.806 6.321 2.731 O
3.837 4.305 4.019 O
2.176 6.374 0.485 O
-4.289 8.831 3.457 O
-3.681 4.460 3.673 O
-1.852 4.733 5.588 O
-4.201 4.320 1.042 O
1.535 3.977 -0.541 O
1.424 8.456 1.964 O
4.363 2.294 2.392 O
-5.960 8.338 1.475 O
3.298 4.507 1.417 O
-1.775 8.184 3.405 F
-1.387 2.301 0.613 F
1.225 2.998 1.854 F
-1.164 4.462 3.122 F
1.442 5.213 4.446 F
-1.655 5.174 -1.295 F
-3.242 6.717 0.691 F
-0.242 6.591 1.351 F
3.995 1.549 1.303 B
-6.283 7.572 0.387 B
-3.992 5.800 3.709 B
2.835 5.795 1.546 B
-1.136 4.580 0.873 Na
-0.263 6.488 3.623 Na
0.424 0.926 1.334 Na
1.315 2.874 4.142 Na
```

Computed properties:
As for the formation energy without anion corrections: -3.001 eV/atom.

Entry 5:
## Mg2RhAu (SCAN)

Data for a PBEsol-optimized structure of Mg2RhAu.

The structure in POSCAR format:
```
Mg2RhAu
1.0
4.458 0.000 0.000
2.229 3.861 0.000
2.229 1.287 3.640
Mg Rh Au
2 1 1
Cartesian
2.229 1.287 0.910 Mg
6.687 3.861 2.730 Mg
4.458 2.574 1.820 Rh
0.000 0.000 0.000 Au
```

Computed properties:
For the formation energy, the calculation gives -0.672 eV per atom.

Entry 6:
## TlRhSeS2 (SCAN)

Data for a PBEsol-optimized structure of TlRhSeS2.

The structure in POSCAR format:
```
TlRhSeS2
1.0
-2.008 3.917 -0.114
-0.728 -0.247 4.336
4.969 2.577 0.981
Rh S Se Tl
1 2 1 1
Cartesian
0.000 0.000 0.000 Rh
-1.004 1.958 -0.057 S
-0.364 -0.123 2.168 S
1.116 3.123 2.601 Se
2.485 1.288 0.490 Tl
```

Computed properties:
As for the formation energy without anion corrections: 0.269 eV/atom.

Entry 7:
## Al3Cr (SCAN)

Data for a PBEsol-optimized structure of Al3Cr.

The structure in POSCAR format:
```
Al3Cr
1.0
-0.481 4.590 1.711
-4.746 -0.863 0.981
1.215 -1.553 4.510
Al Cr
6 2
Cartesian
0.671 1.130 4.238 Al
-2.952 -1.424 2.991 Al
0.063 1.907 1.983 Al
-2.734 3.011 1.773 Al
-2.493 0.716 0.918 Al
-0.579 -0.992 2.500 Al
0.000 0.000 0.000 Cr
-2.006 1.087 3.601 Cr
```

Computed properties:
For the formation energy, the calculation gives -0.138 eV per atom.

Entry 8:
## Ga2AgSeF (SCAN)

Data for a PBEsol-optimized structure of Ga2AgSeF.

The structure in POSCAR format:
```
Ga2AgSeF
1.0
4.768 0.000 0.000
0.000 5.736 0.000
0.000 0.000 5.736
Ga Se Ag F
2 1 1 1
Cartesian
0.000 2.868 0.000 Ga
0.000 0.000 2.868 Ga
0.000 0.000 0.000 Se
2.384 0.000 0.000 Ag
2.384 2.868 2.868 F
```

Computed properties:
As for the formation energy without anion corrections: 0.044 eV/atom.

Entry 9:
## TaZnSe (SCAN)

Data for a PBEsol-optimized structure of TaZnSe.

The structure in POSCAR format:
```
TaZnSe
1.0
3.241 0.000 0.000
0.000 4.326 0.000
0.000 -2.163 3.746
Se Ta Zn
1 1 1
Cartesian
0.000 0.000 0.000 Se
0.000 2.163 1.249 Ta
1.621 0.000 2.497 Zn
```

Computed properties:
As for the formation energy without anion corrections: 0.169 eV/atom.

Entry 10:
## NiHgSe2 (SCAN)

Data for a PBEsol-optimized structure of NiHgSe2.

The structure in POSCAR format:
```
NiHgSe2
1.0
5.841 0.000 0.000
0.000 5.841 0.000
-2.921 -2.921 5.374
Se Hg Ni
4 2 2
Cartesian
4.009 1.460 1.344 Se
1.833 4.381 1.344 Se
1.460 1.088 4.031 Se
-1.460 -1.088 4.031 Se
0.000 2.921 2.687 Hg
0.000 0.000 0.000 Hg
2.921 0.000 2.687 Ni
2.921 2.921 0.000 Ni
```

Computed properties:
As for the formation energy without anion corrections: -0.151 eV/atom.

Entry 11:
## BeTcAs2Br (SCAN)

Data for a PBEsol-optimized structure of BeTcAs2Br.

The structure in POSCAR format:
```
BeTcAs2Br
1.0
4.357 0.000 0.000
0.000 4.357 0.000
0.000 0.000 4.710
As Tc Br Be
2 1 1 1
Cartesian
2.178 0.000 0.000 As
0.000 2.178 0.000 As
2.178 2.178 2.355 Tc
0.000 0.000 2.355 Br
0.000 0.000 0.000 Be
```

Computed properties:
As for the formation energy without anion corrections: 0.911 eV/atom.

Entry 12:
## LaY2Co (SCAN)

Data for a PBEsol-optimized structure of LaY2Co.

The structure in POSCAR format:
```
LaY2Co
1.0
3.718 0.000 0.000
1.859 3.220 0.000
1.859 1.073 9.135
Y Co La
2 1 1
Cartesian
5.577 3.220 6.071 Y
1.859 1.073 3.064 Y
3.718 2.147 4.568 Co
0.000 0.000 0.000 La
```

Computed properties:
For the formation energy, the calculation gives 0.078 eV per atom. Its excess energy over the best structure of this formula in the dataset is 183 meV/atom.

| no. | energy (eV/atom) |
| --- | --- |
| 1 | -57.483 |
| 2 | -6.551 |
| 3 | -40.799 |
| 4 | -8.126 |
| 5 | -28.891 |
| 6 | -28.824 |
| 7 | -10.548 |
| 8 | -17.492 |
| 9 | -33.223 |
| 10 | -31.275 |
| 11 | -18.939 |
| 12 | -28.946 |